A relaxed structure of La6C2SBr3, computed with PBE-GGA.

Unit cell a=6.925 b=11.996 c=7.905 alpha=90.00 beta=107.00 gamma=90.00
Space group C2/m (No. 12)
Inequivalent atoms, fractional coordinates:
La 0.209 0.000 0.188
La 0.240 0.323 0.189
C 0.000 0.167 0.000
S 0.000 0.500 0.000
Br 0.000 0.000 0.500
Br 0.000 0.336 0.500

Output
Crystal system: monoclinic
ΔE_f (raw): -1.21 eV per atom